Entry from the Alexandria database: YCu3Pd4O12 after structural relaxation (PBE).

Cell: 6.5810 6.5810 6.5810 Å, 109.47 109.47 109.47°
Atoms (fractional coordinates):
1 Y 0.0000 0.0000 0.0000
2 Cu 0.0000 0.5000 0.5000
3 Cu 0.5000 0.0000 0.5000
4 Cu 0.5000 0.5000 0.0000
5 Pd 0.0000 0.0000 0.5000
6 Pd 0.0000 0.5000 0.0000
7 Pd 0.5000 0.0000 0.0000
8 Pd 0.5000 0.5000 0.5000
9 O 0.1436 0.3040 0.8396
10 O 0.1604 0.4644 0.3040
11 O 0.1604 0.8564 0.6960
12 O 0.3040 0.1604 0.4644
13 O 0.3040 0.8396 0.1436
14 O 0.4644 0.3040 0.1604
15 O 0.5356 0.6960 0.8396
16 O 0.6960 0.1604 0.8564
17 O 0.6960 0.8396 0.5356
18 O 0.8396 0.1436 0.3040
19 O 0.8396 0.5356 0.6960
20 O 0.8564 0.6960 0.1604

## Properties
**Uncorrected formation energy**: -0.79 eV/atom
**Total DFT energy (no corrections)**: -5.7412 eV per atom
**Calculated volume**: 219.41 Å³/cell